Record 1
Here is a crystal of BeTcSn3 relaxed with PBEsol from the Alexandria database. Energies are from meta-GGA SCAN.

Cell lengths 4.750, 4.750, 4.750 Å; angles 90.00, 90.00, 90.00 degrees
Positions (direct):
Sn (0.000, 0.500, 0.000)
Sn (0.000, 0.000, 0.500)
Tc (0.500, 0.500, 0.500)
Be (0.000, 0.000, 0.000)
Sn (0.500, 0.000, 0.000)

## Properties
Energy of formation in eV per atom: 1.022
Total magnetic moment in μB/f.u.: 3.59

Record 2
Here is a crystal of BeIr2Os relaxed with PBEsol from the Alexandria database. Energies are from meta-GGA SCAN.

Cell lengths 2.733, 2.733, 6.620 Å; angles 90.00, 90.00, 90.00 degrees
Positions (direct):
Os (0.500, 0.500, 0.000)
Be (0.500, 0.500, 0.500)
Ir (0.000, 0.000, 0.716)
Ir (0.000, 0.000, 0.284)

## Properties
Energy of formation in eV per atom: -0.356
Total magnetic moment in μB/f.u.: 0.00

Record 3
Here is a crystal of ScHg relaxed with PBEsol from the Alexandria database. Energies are from meta-GGA SCAN.

Cell lengths 5.983, 8.542, 9.969 Å; angles 90.00, 90.00, 90.00 degrees
Positions (direct):
Sc (0.500, 0.750, 0.382)
Hg (0.500, 0.750, 0.908)
Hg (0.250, 0.387, 0.858)
Sc (0.250, 0.047, 0.871)
Hg (0.750, 0.547, 0.579)
Sc (0.250, 0.131, 0.329)
Sc (0.750, 0.453, 0.871)
Hg (0.750, 0.113, 0.858)
Hg (0.500, 0.250, 0.092)
Sc (0.750, 0.953, 0.129)
Hg (0.250, 0.953, 0.579)
Sc (0.250, 0.547, 0.129)
Sc (0.750, 0.869, 0.671)
Sc (0.750, 0.369, 0.329)
Hg (0.000, 0.750, 0.908)
Sc (0.000, 0.750, 0.382)
Hg (0.250, 0.887, 0.142)
Hg (0.750, 0.613, 0.142)
Hg (0.000, 0.250, 0.092)
Sc (0.250, 0.631, 0.671)
Sc (0.500, 0.250, 0.618)
Sc (0.000, 0.250, 0.618)
Hg (0.250, 0.453, 0.421)
Hg (0.750, 0.047, 0.421)

## Properties
Energy of formation in eV per atom: -0.574
Total magnetic moment in μB/f.u.: 0.00

Record 4
Here is a crystal of HfFeBiAu2 relaxed with PBEsol from the Alexandria database. Energies are from meta-GGA SCAN.

Cell lengths 5.106, 5.106, 5.451 Å; angles 90.00, 90.00, 90.00 degrees
Positions (direct):
Bi (0.000, 0.000, 0.000)
Fe (0.500, 0.500, 0.500)
Au (0.000, 0.500, 0.000)
Hf (0.000, 0.000, 0.500)
Au (0.500, 0.000, 0.000)

## Properties
Energy of formation in eV per atom: 1.380
Total magnetic moment in μB/f.u.: 2.74

Record 5
Here is a crystal of BaLaAu3 relaxed with PBEsol from the Alexandria database. Energies are from meta-GGA SCAN.

Cell lengths 5.507, 5.507, 5.507 Å; angles 90.00, 90.00, 90.00 degrees
Positions (direct):
Au (0.500, 0.000, 0.000)
La (0.000, 0.000, 0.000)
Au (0.000, 0.500, 0.000)
Ba (0.500, 0.500, 0.500)
Au (0.000, 0.000, 0.500)

## Properties
Energy of formation in eV per atom: -0.574
Total magnetic moment in μB/f.u.: 0.00

Record 6
Here is a crystal of Co5Pb relaxed with PBEsol from the Alexandria database. Energies are from meta-GGA SCAN.

Cell lengths 4.738, 4.738, 4.738 Å; angles 60.00, 60.00, 60.00 degrees
Positions (direct):
Pb (0.000, 0.000, 0.000)
Co (0.624, 0.624, 0.127)
Co (0.624, 0.624, 0.624)
Co (0.127, 0.624, 0.624)
Co (0.250, 0.250, 0.250)
Co (0.624, 0.127, 0.624)

## Properties
Energy of formation in eV per atom: 0.444
Total magnetic moment in μB/f.u.: 9.13